Computed, not measured: KSiB after structural relaxation at the PBE-GGA level of DFT.

```
KSiB
1.0
3.007 -6.136 0.000
3.007 6.136 0.000
0.000 0.000 3.843
K Si B
2 2 2
Cartesian
3.007 4.085 2.882
3.007 -4.085 0.961
3.007 0.809 2.882
3.007 -0.809 0.961
3.007 1.242 0.961
3.007 -1.242 2.882
```

formation energy without anion corrections: 1.12 eV per formula unit
space-group type: Cmcm (63)
VASP energy: -4.03 eV per atom

***

Computed, not measured: KSiB after structural relaxation at the PBE-GGA level of DFT.

```
KSiB
1.0
5.009 0.000 0.000
-0.926 5.372 0.000
-0.546 -2.162 6.113
K Si B
2 2 2
Cartesian
0.000 0.000 0.000
1.630 0.436 3.570
1.449 3.213 1.144
3.268 3.418 2.766
-0.359 2.558 1.593
3.177 2.333 1.042
```

formation energy without anion corrections: 0.79 eV per formula unit
space-group type: P1 (1)
VASP energy: -4.13 eV per atom

***

Computed, not measured: KSiB after structural relaxation at the PBE-GGA level of DFT.

```
KSiB
1.0
4.414 0.000 0.000
-1.612 4.744 0.000
-0.936 -1.660 6.622
K Si B
2 2 2
Cartesian
0.000 0.000 0.000
0.386 0.758 4.344
0.620 3.739 2.224
2.689 2.641 2.975
1.476 2.245 1.282
2.183 0.967 1.837
```

formation energy without anion corrections: 0.74 eV per formula unit
space-group type: P1 (1)
VASP energy: -4.15 eV per atom